Entry from Alexandria: a relaxed Rb3V2Cl3F4 crystal (PBE+U).

The structure belongs to space group Immm (No. 71); the cell edges are 4.273, 5.066 and 24.640 Å and the angles 90.00°, 90.00° and 90.00°. The distinct sites, in fractional coordinates, are Rb at (0.000, 0.000, 0.000), Rb at (0.000, 0.000, 0.195), V at (0.000, 0.000, 0.391), Cl at (0.000, 0.000, 0.500), Cl at (0.000, 0.500, 0.399), F at (0.000, 0.000, 0.306) and F at (0.000, 0.500, 0.111).

Its total energy is -4.772 eV/atom.